Record 1
First-principles (PBE) data for a relaxed structure of La2GeP3Pt4, as listed in Alexandria via LeMat-Bulk.

Values from the calculation:
Its space group is P-4m2, No. 115.

Cell lengths 4.3350, 4.3350, 9.8780 Å; angles 90.00, 90.00, 90.00 degrees
Element x y z (fractional)
La  0.0000  0.5000  0.2484
La  0.5000  0.0000  0.7516
Ge  0.0000  0.0000  0.5000
P  0.0000  0.5000  0.8686
P  0.5000  0.0000  0.1314
P  0.5000  0.5000  0.5000
Pt  0.0000  0.0000  0.0000
Pt  0.0000  0.5000  0.6260
Pt  0.5000  0.0000  0.3740
Pt  0.5000  0.5000  0.0000


Record 2
First-principles (PBE) data for a relaxed structure of LaGeP2Pt, as listed in Alexandria via LeMat-Bulk.

Values from the calculation:
Its space group is P4/mmm, No. 123.

Cell lengths 4.8481, 4.8481, 4.6582 Å; angles 90.00, 90.00, 90.00 degrees
Element x y z (fractional)
La  0.0000  0.0000  0.0000
Ge  0.5000  0.5000  0.5000
P  0.0000  0.5000  0.5000
P  0.5000  0.0000  0.5000
Pt  0.5000  0.5000  0.0000


Record 3
First-principles (PBE) data for a relaxed structure of LaGePRh3, as listed in Alexandria via LeMat-Bulk.

Values from the calculation:
Its space group is Cmcm, No. 63.

Cell lengths 7.8181, 7.8181, 5.7004 Å; angles 90.00, 90.00, 137.07 degrees
Element x y z (fractional)
La  0.2196  0.7804  0.7500
La  0.7804  0.2196  0.2500
Ge  0.4039  0.5961  0.2500
Ge  0.5961  0.4039  0.7500
P  0.0799  0.9201  0.2500
P  0.9201  0.0799  0.7500
Rh  0.2364  0.7636  0.2500
Rh  0.2447  0.2447  0.0000
Rh  0.2447  0.2447  0.5000
Rh  0.7553  0.7553  0.0000
Rh  0.7553  0.7553  0.5000
Rh  0.7636  0.2364  0.7500


Record 4
First-principles (PBE) data for a relaxed structure of La2GeP3Rh4, as listed in Alexandria via LeMat-Bulk.

Values from the calculation:
Its space group is P-4m2, No. 115.

Cell lengths 4.1992, 4.1992, 9.9176 Å; angles 90.00, 90.00, 90.00 degrees
Element x y z (fractional)
La  0.0000  0.5000  0.2469
La  0.5000  0.0000  0.7531
Ge  0.5000  0.5000  0.0000
P  0.0000  0.0000  0.0000
P  0.0000  0.5000  0.6333
P  0.5000  0.0000  0.3667
Rh  0.0000  0.0000  0.5000
Rh  0.0000  0.5000  0.8729
Rh  0.5000  0.0000  0.1271
Rh  0.5000  0.5000  0.5000


Record 5
First-principles (PBE) data for a relaxed structure of La2GePRh, as listed in Alexandria via LeMat-Bulk.

Values from the calculation:
Its space group is P4/mmm, No. 123.

Cell lengths 5.5866, 5.5866, 4.3942 Å; angles 90.00, 90.00, 90.00 degrees
Element x y z (fractional)
La  0.0000  0.5000  0.0000
La  0.5000  0.0000  0.0000
Ge  0.0000  0.0000  0.5000
P  0.5000  0.5000  0.5000
Rh  0.5000  0.5000  0.0000


Record 6
First-principles (PBE) data for a relaxed structure of LaGeP2Ru, as listed in Alexandria via LeMat-Bulk.

Values from the calculation:
Its space group is P4/mmm, No. 123.

Cell lengths 4.8227, 4.8227, 4.5498 Å; angles 90.00, 90.00, 90.00 degrees
Element x y z (fractional)
La  0.0000  0.0000  0.0000
Ge  0.5000  0.5000  0.5000
P  0.0000  0.5000  0.5000
P  0.5000  0.0000  0.5000
Ru  0.5000  0.5000  0.0000


no.,DOS at the Fermi energy (states/eV per cell),M_tot (μB per cell),formation energy from the elements (meV per atom)
1,4.395,0.000,-1013
2,5.047,0.000,-207
3,4.287,0.000,-846
4,7.252,0.003,-1056
5,5.124,0.000,-576
6,3.764,0.000,107